The following is a PBE calculation of crystalline KCa2Hg at its relaxed geometry, from the Alexandria database.

Output
The formation energy from the elements is 0.06 eV per atom.

Cell: 5.9650 5.9650 5.9650 Å, 60.00 60.00 60.00°
Fractional coordinates of all 4 atoms:
Ca (0.0000, 0.0000, 0.0000)
Ca (0.2500, 0.2500, 0.2500)
Hg (0.5000, 0.5000, 0.5000)
K (0.7500, 0.7500, 0.7500)

=====

The following is a PBE calculation of crystalline KCa2Hg at its relaxed geometry, from the Alexandria database.

Output
The formation energy from the elements is -0.16 eV per atom.

Cell: 11.5936 11.5936 11.5936 Å, 20.74 20.74 20.74°
Fractional coordinates of all 4 atoms:
Ca (0.9755, 0.9755, 0.9755)
Ca (0.5245, 0.5245, 0.5245)
Hg (0.2500, 0.2500, 0.2500)
K (0.7500, 0.7500, 0.7500)

=====

The following is a PBE calculation of crystalline KCa2Hg at its relaxed geometry, from the Alexandria database.

Output
The formation energy from the elements is -0.15 eV per atom.

Cell: 4.0894 4.0894 9.5857 Å, 90.00 90.00 90.00°
Fractional coordinates of all 4 atoms:
Ca (0.0000, 0.0000, 0.0458)
Ca (0.5000, 0.5000, 0.3078)
Hg (0.0000, 0.0000, 0.4438)
K (0.5000, 0.5000, 0.7027)

=====

The following is a PBE calculation of crystalline KCa2Hg at its relaxed geometry, from the Alexandria database.

Output
The formation energy from the elements is 0.01 eV per atom.

Cell: 6.7093 6.7093 6.7093 Å, 135.02 135.02 65.51°
Fractional coordinates of all 4 atoms:
Ca (0.0000, 0.0000, 0.0000)
Ca (0.2500, 0.7500, 0.5000)
Hg (0.5000, 0.5000, 0.0000)
K (0.7500, 0.2500, 0.5000)

=====

The following is a PBE calculation of crystalline KCa2Hg at its relaxed geometry, from the Alexandria database.

Output
The formation energy from the elements is -0.08 eV per atom.

Cell: 11.7935 11.7935 11.7935 Å, 19.85 19.85 19.85°
Fractional coordinates of all 4 atoms:
Ca (0.9918, 0.9918, 0.9918)
Ca (0.2354, 0.2354, 0.2354)
Hg (0.5080, 0.5080, 0.5080)
K (0.7648, 0.7648, 0.7648)

=====

The following is a PBE calculation of crystalline K2CaHg at its relaxed geometry, from the Alexandria database.

Output
The formation energy from the elements is -0.09 eV per atom.

Cell: 5.8511 5.8511 9.2481 Å, 72.88 72.88 41.91°
Fractional coordinates of all 4 atoms:
Ca (0.4418, 0.4418, 0.6253)
Hg (0.7285, 0.7285, 0.6245)
K (0.0794, 0.0794, 0.9461)
K (0.2502, 0.2502, 0.3041)